A relaxed Na3NpCr2O6 crystal, computed with PBE with a Hubbard U.

The structure belongs to space group C2/m (No. 12); the cell edges are 5.960, 9.379 and 6.043 Å and the angles 90.00°, 113.80° and 90.00°. The asymmetric unit holds Na at (0.000, 0.000, 0.000), Na at (0.000, 0.329, 0.000), Np at (0.000, 0.500, 0.500), Cr at (0.000, 0.164, 0.500), O at (0.207, 0.332, 0.724) and O at (0.234, 0.000, 0.694).

The calculation puts the total magnetic moment at 10.0 μB/f.u. The energy comes out at -7.179 eV/atom. Its crystal system is monoclinic.